First-principles (PBE) data for a relaxed CdGa2Cl4 crystal, as listed in Alexandria via LeMat-Bulk.

## Properties
Crystal system: tetragonal
E_form (uncorrected) (eV per atom): -0.794
Distance to the lowest polymorph of the same formula (eV/atom): 0.0732

Unit cell a=5.304 b=5.304 c=8.178 alpha=108.92 beta=108.92 gamma=90.00
Sites, in units of the cell vectors:
Cd 0.000 0.000 0.000
Ga 0.639 0.639 0.277
Ga 0.361 0.361 0.723
Cl 0.500 0.000 0.000
Cl 0.000 0.500 0.000
Cl 0.179 0.179 0.359
Cl 0.821 0.821 0.641

---

First-principles (PBE) data for a relaxed TaBeAs2 crystal, as listed in Alexandria via LeMat-Bulk.

## Properties
Formation energy from the elements (meV/atom): 19
Crystal system: orthorhombic

Unit cell a=2.965 b=2.965 c=8.403 alpha=90.00 beta=90.00 gamma=104.27
Sites, in units of the cell vectors:
Be 0.000 0.000 0.508
Ta 0.500 0.500 0.704
As 0.000 0.000 0.939
As 0.500 0.500 0.350

---

First-principles (PBE) data for a relaxed GaPt4 crystal, as listed in Alexandria via LeMat-Bulk.

## Properties
Formation energy from the elements (meV/atom): -164
Crystal system: tetragonal
Distance to the lowest polymorph of the same formula (eV/atom): 0.1108

Unit cell a=5.383 b=5.383 c=5.536 alpha=90.00 beta=90.00 gamma=90.00
Sites, in units of the cell vectors:
Pt 0.776 0.608 0.856
Pt 0.276 0.892 0.644
Pt 0.724 0.108 0.644
Pt 0.108 0.276 0.356
Pt 0.224 0.392 0.856
Pt 0.392 0.776 0.144
Pt 0.608 0.224 0.144
Pt 0.892 0.724 0.356
Ga 0.500 0.500 0.500
Ga 0.000 0.000 0.000

---

| no. | magnetization (Bohr magnetons per cell) | total DFT energy (no corrections) (eV/atom) |
| --- | --- | --- |
| 1 | 0.00 | -2.845 |
| 2 | 0.00 | -6.200 |
| 3 | 0.00 | -5.602 |